This record from the Alexandria database describes a relaxed OsRu3 crystal. The functional is GGA-PBEsol.

The structure in POSCAR format:
```
OsRu3
1.0
2.698 0.000 0.000
0.000 4.261 0.000
0.000 0.000 4.674
Ru Os
3 1
Cartesian
1.349 0.000 2.331
1.349 2.131 3.888
0.000 2.131 1.564
0.000 0.000 0.008
```

Properties
Size of the total moment   0.0 μB per formula unit
Space group   No. 25
Crystal system   orthorhombic
Calculated formation energy   -0.03 eV per formula unit